1.
! BeOsRu2, optimized geometry, DFT PBE-GGA; values from VASP
! formation energy from the elements: 0.217 eV/atom
! V: 13.3 Å³/atom
! SG: No. 65
! Fermi-level density of states: 1.61 states/eV/atom
&SYSTEM
  ibrav = 0, nat = 4, ntyp = 3
/
ATOMIC_SPECIES
Ru 101.07 Ru.upf
Be 9.01 Be.upf
Os 190.23 Os.upf
ATOMIC_POSITIONS angstrom
Ru -1.9341 2.4024 2.1251
Ru 0.0000 0.0000 0.0000
Be -0.5066 -1.8945 1.7988
Os -2.3191 -0.0952 1.2977
CELL_PARAMETERS angstrom
-3.7466 4.2017 1.6241
-0.8915 -4.3921 0.9713
-0.1216 0.6031 2.6262

=====

2.
! CrRe2Se, optimized geometry, DFT PBE-GGA; values from VASP
! V: 14.7 Å³/atom
! ΔE_f (raw): 0.6251 eV per atom
! SG: No. 216
! Fermi-level density of states: 0.95 states/eV/atom
&SYSTEM
  ibrav = 0, nat = 4, ntyp = 3
/
ATOMIC_SPECIES
Se 78.96 Se.upf
Re 186.21 Re.upf
Cr 52.00 Cr.upf
ATOMIC_POSITIONS angstrom
Se 4.3325 -5.2320 -4.2574
Re 1.4442 -1.7440 -1.4191
Re 0.0000 0.0000 0.0000
Cr 2.8883 -3.4880 -2.8382
CELL_PARAMETERS angstrom
-0.1219 -2.9335 -3.2283
3.4248 -0.4542 -2.6660
2.4738 -3.5882 0.2178

=====

3.
! GaBSe2, optimized geometry, DFT PBE-GGA; values from VASP
! V: 32.9 Å³/atom
! ΔE_f (raw): 0.0462 eV per atom
! SG: No. 166
! Fermi-level density of states: 0.00 states/eV/atom
&SYSTEM
  ibrav = 0, nat = 4, ntyp = 3
/
ATOMIC_SPECIES
Se 78.96 Se.upf
B 10.81 B.upf
Ga 69.72 Ga.upf
ATOMIC_POSITIONS angstrom
Se 0.0000 0.0000 17.5309
Se 0.0000 0.0000 1.8193
B 0.0000 0.0000 0.0000
Ga 0.0000 0.0000 9.6751
CELL_PARAMETERS angstrom
2.8020 0.0000 6.4501
-1.4010 2.4266 6.4501
-1.4010 -2.4266 6.4501

=====

4.
! Ba2Al2Ag, optimized geometry, DFT PBE-GGA; values from VASP
! formation energy from the elements: -0.179 eV/atom
! V: 31.8 Å³/atom
! SG: No. 15
! Fermi-level density of states: 0.57 states/eV/atom
&SYSTEM
  ibrav = 0, nat = 10, ntyp = 3
/
ATOMIC_SPECIES
Al 26.98 Al.upf
Ag 107.87 Ag.upf
Ba 137.33 Ba.upf
ATOMIC_POSITIONS angstrom
Al 2.7819 4.1726 4.5465
Al 0.8363 2.8321 3.0456
Al 1.6452 5.0764 6.8417
Al 1.9730 1.9283 0.7504
Ag 0.7163 2.7412 5.6941
Ag 2.9019 4.2635 1.8980
Ba 4.4299 1.2290 3.2673
Ba 5.2124 0.9864 -0.5287
Ba -0.8117 5.7757 4.3248
Ba -1.5942 6.0184 8.1208
CELL_PARAMETERS angstrom
6.8032 -0.4682 -1.0311
-1.9897 6.5226 1.0311
-1.1953 0.9503 7.5921

=====

5.
! ErAg2Pd, optimized geometry, DFT PBE-GGA; values from VASP
! formation energy from the elements: -0.498 eV/atom
! V: 19.1 Å³/atom
! SG: No. 59
! Fermi-level density of states: 0.47 states/eV/atom
&SYSTEM
  ibrav = 0, nat = 8, ntyp = 3
/
ATOMIC_SPECIES
Ag 107.87 Ag.upf
Pd 106.42 Pd.upf
Er 167.26 Er.upf
ATOMIC_POSITIONS angstrom
Ag 3.7370 0.4882 2.8753
Ag 1.2457 4.0630 6.0793
Ag 1.2457 4.3446 3.2974
Ag 3.7370 0.7698 0.0935
Pd 3.7370 3.4355 1.7679
Pd 1.2457 1.3973 4.4049
Er 3.7370 2.9730 4.5633
Er 1.2457 1.8598 1.6094
CELL_PARAMETERS angstrom
4.9827 0.0000 0.0000
0.0000 5.4020 0.5460
0.0000 -0.5691 5.6268

=====

6.
! NbSn2Pd9, optimized geometry, DFT PBE-GGA; values from VASP
! formation energy from the elements: -0.472 eV/atom
! V: 16.2 Å³/atom
! SG: No. 123
! Fermi-level density of states: 0.38 states/eV/atom
&SYSTEM
  ibrav = 0, nat = 12, ntyp = 3
/
ATOMIC_SPECIES
Pd 106.42 Pd.upf
Sn 118.71 Sn.upf
Nb 92.91 Nb.upf
ATOMIC_POSITIONS angstrom
Pd 0.0000 2.0052 6.0545
Pd 2.0052 2.0052 8.1264
Pd 2.0052 0.0000 6.0545
Pd 2.0052 2.0052 0.0000
Pd 0.0000 2.0052 1.9215
Pd 0.0000 2.0052 10.1876
Pd 2.0052 0.0000 1.9215
Pd 2.0052 2.0052 3.9827
Pd 2.0052 0.0000 10.1876
Sn 0.0000 0.0000 8.0482
Sn 0.0000 0.0000 4.0609
Nb 0.0000 0.0000 0.0000
CELL_PARAMETERS angstrom
4.0103 0.0000 0.0000
0.0000 4.0103 0.0000
0.0000 0.0000 12.1091

=====

7.
! ScH, optimized geometry, DFT PBE-GGA; values from VASP
! V: 13.3 Å³/atom
! SG: No. 129
! Fermi-level density of states: 0.64 states/eV/atom
! DFT total energy: -21.230 eV per cell
&SYSTEM
  ibrav = 0, nat = 4, ntyp = 2
/
ATOMIC_SPECIES
H 1.01 H.upf
Sc 44.96 Sc.upf
ATOMIC_POSITIONS angstrom
H 2.1546 2.4529 2.7565
H 0.5302 0.8176 2.5710
Sc 0.6657 2.4529 1.3796
Sc 2.0191 0.8176 3.9478
CELL_PARAMETERS angstrom
3.2492 0.0000 0.3699
0.0000 3.2705 0.0000
-0.5644 0.0000 4.9575

=====

8.
! Ca3SmAs3, optimized geometry, DFT PBE-GGA; values from VASP
! formation energy from the elements: -1.270 eV/atom
! V: 25.8 Å³/atom
! SG: No. 198
&SYSTEM
  ibrav = 0, nat = 28, ntyp = 3
/
ATOMIC_SPECIES
As 74.92 As.upf
Sm 150.36 Sm.upf
Ca 40.08 Ca.upf
ATOMIC_POSITIONS angstrom
As 4.1233 -1.6749 2.5632
As 2.1368 -1.4895 8.3331
As 5.0863 -3.5370 6.1518
As 8.0156 -0.2724 3.6442
As 5.4440 0.5985 6.7993
As 0.5296 -2.2639 4.5794
As 5.0411 -6.9244 8.5706
As 1.0478 2.5278 8.3736
As 2.2022 1.5424 4.3758
As 2.0246 0.6003 11.9313
As 1.7595 -6.0388 6.1677
As 9.5576 0.5130 7.4299
Sm 7.7950 2.4651 5.4545
Sm -0.4145 -0.0396 9.8192
Sm 4.8599 -6.7044 5.2936
Sm 3.4157 -1.1941 5.7393
Ca 0.3488 0.4272 6.4025
Ca 0.1354 -3.3778 7.2788
Ca 3.4007 0.9995 9.3346
Ca 1.4101 -0.4930 2.3694
Ca 7.3246 -2.5605 12.3074
Ca 5.3560 -1.8723 8.9995
Ca 3.7173 2.9628 6.4662
Ca 6.4475 -3.1858 3.5621
Ca 5.2801 0.8661 3.5590
Ca 2.7026 -4.2058 4.0378
Ca 7.5776 -1.4113 6.3472
Ca 3.2677 -4.5683 8.2554
CELL_PARAMETERS angstrom
-3.5316 -3.3962 7.5224
7.0213 -5.5370 0.7965
4.3383 6.1967 4.8344

=====

9.
! PmYGa3, optimized geometry, DFT PBE-GGA; values from VASP
! formation energy from the elements: -0.680 eV/atom
! V: 23.1 Å³/atom
! SG: No. 63
! Fermi-level density of states: 0.66 states/eV/atom
&SYSTEM
  ibrav = 0, nat = 10, ntyp = 3
/
ATOMIC_SPECIES
Ga 69.72 Ga.upf
Y 88.91 Y.upf
Pm 145.00 Pm.upf
ATOMIC_POSITIONS angstrom
Ga -0.6009 -3.2760 1.9483
Ga -6.8222 0.0425 5.7171
Ga -6.7549 2.3841 6.7377
Ga -2.1152 -0.0979 4.6744
Ga -8.3365 3.2206 8.4431
Ga -2.1825 -2.4395 3.6538
Y -4.8499 -1.0007 3.5902
Y -4.0875 0.9453 6.8012
Pm -7.2349 0.2328 9.1021
Pm -1.7025 -0.2881 1.2893
CELL_PARAMETERS angstrom
-1.9947 -3.6995 -0.0352
2.5837 -1.4226 3.0937
-9.5265 5.0666 7.3329

=====

10.
! Sr4SnBiH, optimized geometry, DFT PBE-GGA; values from VASP
! V: 33.3 Å³/atom
! SG: No. 63
! Fermi-level density of states: 0.11 states/eV/atom
! DFT total energy: -45.745 eV per cell
&SYSTEM
  ibrav = 0, nat = 14, ntyp = 4
/
ATOMIC_SPECIES
Sr 87.62 Sr.upf
Sn 118.71 Sn.upf
Bi 208.98 Bi.upf
H 1.01 H.upf
ATOMIC_POSITIONS angstrom
Sr 5.4283 -2.3531 -1.2903
Sr 1.1515 -4.7520 -0.0250
Sr 3.4602 -0.4536 -4.2918
Sr 2.4998 -8.1322 -1.8267
Sr 6.8742 -5.8887 -3.0567
Sr 3.5998 -2.8121 1.7439
Sr -0.9142 -2.6971 -3.0618
Sr 2.9800 -4.2929 -3.0592
Sn 1.4422 -3.0785 -5.9050
Sn 4.5178 -5.5073 -0.2135
Bi 2.0057 -1.5080 -1.1223
Bi 3.9544 -7.0778 -4.9962
H 4.9387 -2.8073 -3.7569
H 1.0214 -5.7785 -2.3615
CELL_PARAMETERS angstrom
-4.8966 -3.8797 -3.5378
3.6570 0.9181 -6.0685
7.1996 -5.6243 3.4878

=====

11.
! TaInCl3, optimized geometry, DFT PBE-GGA; values from VASP
! V: 24.4 Å³/atom
! ΔE_f (raw): -0.4246 eV per atom
! SG: No. 221
! Fermi-level density of states: 0.95 states/eV/atom
&SYSTEM
  ibrav = 0, nat = 5, ntyp = 3
/
ATOMIC_SPECIES
In 114.82 In.upf
Cl 35.45 Cl.upf
Ta 180.95 Ta.upf
ATOMIC_POSITIONS angstrom
In -4.2669 -0.2517 0.4351
Cl -1.2013 -1.6548 1.4041
Cl -1.4589 1.8039 0.8778
Cl -1.6067 -0.4007 -1.8469
Ta 0.0000 0.0000 0.0000
CELL_PARAMETERS angstrom
-3.2135 -0.8015 -3.6937
-2.4025 -3.3096 2.8083
-2.9178 3.6078 1.7556

=====

12.
! P3PtC, optimized geometry, DFT PBE-GGA; values from VASP
! formation energy from the elements: 2.114 eV/atom
! V: 20.3 Å³/atom
! SG: No. 221
! Fermi-level density of states: 0.90 states/eV/atom
&SYSTEM
  ibrav = 0, nat = 5, ntyp = 3
/
ATOMIC_SPECIES
P 30.97 P.upf
Pt 195.08 Pt.upf
C 12.01 C.upf
ATOMIC_POSITIONS angstrom
P -1.7824 -1.2155 -0.8894
P -1.3693 0.7338 1.7413
P 0.6273 -1.8519 1.2738
Pt 0.0000 0.0000 0.0000
C -2.5244 -2.3336 2.1257
CELL_PARAMETERS angstrom
-3.5649 -2.4310 -1.7788
1.2547 -3.7038 2.5475
-2.7386 1.4677 3.4826

=====

13.
! CaNd3Co, optimized geometry, DFT PBE-GGA; values from VASP
! formation energy from the elements: 0.080 eV/atom
! V: 32.2 Å³/atom
! SG: No. 12
! Fermi-level density of states: 1.09 states/eV/atom
&SYSTEM
  ibrav = 0, nat = 10, ntyp = 3
/
ATOMIC_SPECIES
Ca 40.08 Ca.upf
Nd 144.24 Nd.upf
Co 58.93 Co.upf
ATOMIC_POSITIONS angstrom
Ca 1.8746 -0.4237 12.3537
Ca -0.4518 -2.4400 10.7667
Nd 0.9921 -1.5403 7.4396
Nd -1.7844 0.5061 8.8991
Nd -0.3258 1.4271 5.5789
Nd -1.0678 -2.0782 4.2748
Nd 1.6993 -4.1131 2.8202
Nd 0.3882 -1.1572 0.9636
Co 3.4940 -2.2111 8.3515
Co 0.8439 1.1894 8.1377
CELL_PARAMETERS angstrom
-2.9148 -1.8421 6.6315
2.6288 -5.9233 3.7174
1.6466 4.6316 6.2294

=====

14.
! NpUPt4, optimized geometry, DFT PBE-GGA; values from VASP
! formation energy from the elements: -0.653 eV/atom
! V: 18.9 Å³/atom
! SG: No. 216
! Fermi-level density of states: 2.14 states/eV/atom
&SYSTEM
  ibrav = 0, nat = 6, ntyp = 3
/
ATOMIC_SPECIES
Np 237.00 Np.upf
Pt 195.08 Pt.upf
U 238.03 U.upf
ATOMIC_POSITIONS angstrom
Np 0.0000 0.0000 0.0000
Pt 2.0216 -7.3774 3.2575
Pt 2.0875 -4.6908 3.6433
Pt 2.3882 -5.7113 1.1454
Pt -0.0279 -5.8291 2.3781
U 0.8087 -2.9511 1.3030
CELL_PARAMETERS angstrom
-0.1317 -5.3742 -0.7717
4.0998 -3.0972 1.7591
-0.7334 -3.3329 4.2249

=====

15.
! LaDyBeN2, optimized geometry, DFT PBE-GGA; values from VASP
! V: 17.7 Å³/atom
! ΔE_f (raw): -0.8906 eV per atom
! SG: No. 13
! Fermi-level density of states: 0.68 states/eV/atom
&SYSTEM
  ibrav = 0, nat = 10, ntyp = 4
/
ATOMIC_SPECIES
La 138.91 La.upf
Dy 162.50 Dy.upf
Be 9.01 Be.upf
N 14.01 N.upf
ATOMIC_POSITIONS angstrom
La -4.5058 -2.5344 2.2378
La -4.4173 -1.4394 -3.6383
Dy -5.4674 0.6490 0.7028
Dy -2.7116 0.5983 -1.1177
Be -2.7531 0.0496 1.8246
Be 0.0000 0.0000 0.0000
N -4.9587 -0.1062 -1.4982
N -3.9644 -3.8676 0.0977
N -0.7651 -0.7746 -1.1325
N -8.1580 -3.1993 -0.2680
CELL_PARAMETERS angstrom
-2.6728 1.1481 -4.0641
-0.7441 -5.2211 -0.9856
-5.5062 0.0991 3.6492

=====

16.
! GaRuCl3, optimized geometry, DFT PBE-GGA; values from VASP
! V: 23.7 Å³/atom
! ΔE_f (raw): -0.2470 eV per atom
! SG: No. 221
! Fermi-level density of states: 1.76 states/eV/atom
&SYSTEM
  ibrav = 0, nat = 5, ntyp = 3
/
ATOMIC_SPECIES
Cl 35.45 Cl.upf
Ga 69.72 Ga.upf
Ru 101.07 Ru.upf
ATOMIC_POSITIONS angstrom
Cl 2.4573 0.0000 0.0000
Cl 0.0000 0.0000 2.4573
Cl 0.0000 2.4573 0.0000
Ga 2.4573 2.4573 2.4573
Ru 0.0000 0.0000 0.0000
CELL_PARAMETERS angstrom
4.9146 0.0000 0.0000
0.0000 4.9146 0.0000
0.0000 0.0000 4.9146